An optimized crystal structure of AcLaPrCd, computed with PBE.

Calculated values
Its energy above the lowest structure with this stoichiometry is 157 meV/atom. As for the density of states at the Fermi level: 5.1 states/eV per cell. As for the formation energy: 0.00 eV per atom.

Unit cell a=5.793 b=5.793 c=5.793 alpha=60.00 beta=60.00 gamma=60.00
Fractional coordinates of all 4 atoms:
1 Ac 0.000 0.000 0.000
2 La 0.250 0.250 0.250
3 Pr 0.750 0.750 0.750
4 Cd 0.500 0.500 0.500